Record 1
Entry from Alexandria via LeMat-Bulk: a relaxed Na3Np3AlS8 crystal (PBE).

Computed properties:
Calculated volume   1072.1 Å³/cell
E_form (uncorrected)   -1.2640 eV/atom
Magnetic moment   33.00 μB/cell
Mass density   4.94 Mg/m³

abc: 7.8467 7.8467 20.1064
angles: 90.00 90.00 120.00
With the nearest neighbours (Å) after each atom.
Space group R-3m (No. 166, hexagonal axes)
One atom of each set of equivalent atoms:
Na 0.0000 0.5000 0.0000 [9 per cell]  6 S 2.91-2.93
Np 0.0000 0.5000 0.5000 [9 per cell]  6 S 2.73-2.75
Al 0.0000 0.0000 0.5000 [3 per cell]  6 S 2.50
S 0.0000 0.0000 0.2424 [6 per cell]  3 Np 2.73, 3 Na 2.91
S 0.0276 0.5138 0.2361 [18 per cell]  1 Al 2.50, 2 Np 2.75


Record 2
Entry from Alexandria via LeMat-Bulk: a relaxed Na3Np3AlSe8 crystal (PBE).

Computed properties:
Calculated volume   1229.6 Å³/cell
E_form (uncorrected)   -1.0987 eV/atom
Magnetic moment   33.00 μB/cell
Mass density   5.83 Mg/m³

abc: 8.2098 8.2098 21.0669
angles: 90.00 90.00 120.00
With the nearest neighbours (Å) after each atom.
Space group R-3m (No. 166, hexagonal axes)
One atom of each set of equivalent atoms:
Na 0.0000 0.5000 0.0000 [9 per cell]  6 Se 3.03-3.05
Np 0.0000 0.5000 0.5000 [9 per cell]  6 Se 2.87-2.88
Al 0.0000 0.0000 0.5000 [3 per cell]  6 Se 2.65
Se 0.0000 0.0000 0.2438 [6 per cell]  3 Np 2.87, 3 Na 3.03
Se 0.0252 0.5126 0.2376 [18 per cell]  1 Al 2.65, 2 Np 2.88